[1]
Density functional theory data (PBE) for a relaxed structure of ZrBeFeBi.

Structure (POSCAR):
```
ZrBeFeBi
1.0
0.0000 3.2109 3.2109
3.2109 0.0000 3.2109
3.2109 3.2109 0.0000
Zr Be Fe Bi
1 1 1 1
Cartesian
0.0000 0.0000 0.0000
1.6054 1.6054 1.6054
4.8163 4.8163 4.8163
3.2109 3.2109 3.2109
```

## Properties
Relative energy among the computed polymorphs (meV per atom): 0
M_tot (μB/atom): 0.17

=====

[2]
Density functional theory data (PBE) for a relaxed structure of ZrBeFeBi.

Structure (POSCAR):
```
ZrBeFeBi
1.0
0.0000 3.2705 3.2705
3.2705 0.0000 3.2705
3.2705 3.2705 0.0000
Zr Be Fe Bi
1 1 1 1
Cartesian
0.0000 0.0000 0.0000
4.9057 4.9057 4.9057
3.2705 3.2705 3.2705
1.6352 1.6352 1.6352
```

## Properties
Relative energy among the computed polymorphs (meV per atom): 200
M_tot (μB/atom): 0.36

=====

[3]
Density functional theory data (PBE) for a relaxed structure of BeTcGeBi.

Structure (POSCAR):
```
BeTcGeBi
1.0
0.0000 3.2497 3.2497
3.2497 0.0000 3.2497
3.2497 3.2497 0.0000
Be Tc Ge Bi
1 1 1 1
Cartesian
0.0000 0.0000 0.0000
3.2497 3.2497 3.2497
4.8746 4.8746 4.8746
1.6249 1.6249 1.6249
```

## Properties
Relative energy among the computed polymorphs (meV per atom): 0
M_tot (μB/atom): 0.00

=====

[4]
Density functional theory data (PBE) for a relaxed structure of BeTcGeBi.

Structure (POSCAR):
```
BeTcGeBi
1.0
0.0000 3.2683 3.2683
3.2683 0.0000 3.2683
3.2683 3.2683 0.0000
Be Tc Ge Bi
1 1 1 1
Cartesian
0.0000 0.0000 0.0000
1.6342 1.6342 1.6342
3.2683 3.2683 3.2683
4.9025 4.9025 4.9025
```

## Properties
Relative energy among the computed polymorphs (meV per atom): 99
M_tot (μB/atom): 0.08

=====

[5]
Density functional theory data (PBE) for a relaxed structure of HfBeBi2.

Structure (POSCAR):
```
HfBeBi2
1.0
0.0000 3.6218 3.6218
3.6218 0.0000 3.6218
3.6218 3.6218 0.0000
Hf Be Bi
1 1 2
Cartesian
0.0000 0.0000 0.0000
5.4327 5.4327 5.4327
1.8109 1.8109 1.8109
3.6218 3.6218 3.6218
```

## Properties
Final energy (eV for the cell shown): -19.0
M_tot (μB/atom): 0.00

=====

[6]
Density functional theory data (PBE) for a relaxed structure of Be2HgBi.

Structure (POSCAR):
```
Be2HgBi
1.0
0.0000 3.4259 3.4259
3.4259 0.0000 3.4259
3.4259 3.4259 0.0000
Be Hg Bi
2 1 1
Cartesian
0.0000 0.0000 0.0000
1.7129 1.7129 1.7129
5.1388 5.1388 5.1388
3.4259 3.4259 3.4259
```

## Properties
Final energy (eV for the cell shown): -8.0

=====

[7]
Density functional theory data (PBE) for a relaxed structure of BeHgBiIr.

Structure (POSCAR):
```
BeHgBiIr
1.0
0.0000 3.3645 3.3645
3.3645 0.0000 3.3645
3.3645 3.3645 0.0000
Be Hg Bi Ir
1 1 1 1
Cartesian
0.0000 0.0000 0.0000
3.3645 3.3645 3.3645
1.6822 1.6822 1.6822
5.0467 5.0467 5.0467
```

## Properties
Relative energy among the computed polymorphs (meV per atom): 59
M_tot (μB/atom): 0.00

=====

[8]
Density functional theory data (PBE) for a relaxed structure of BeHgBiIr.

Structure (POSCAR):
```
BeHgBiIr
1.0
0.0000 3.3477 3.3477
3.3477 0.0000 3.3477
3.3477 3.3477 0.0000
Be Hg Bi Ir
1 1 1 1
Cartesian
0.0000 0.0000 0.0000
1.6739 1.6739 1.6739
5.0216 5.0216 5.0216
3.3477 3.3477 3.3477
```

## Properties
Relative energy among the computed polymorphs (meV per atom): 0
M_tot (μB/atom): 0.00

=====

[9]
Density functional theory data (PBE) for a relaxed structure of HoBeBi.

Structure (POSCAR):
```
HoBeBi
1.0
0.0000 3.4802 3.4802
3.4802 0.0000 3.4802
3.4802 3.4802 0.0000
Ho Be Bi
1 1 1
Cartesian
0.0000 0.0000 0.0000
5.2203 5.2203 5.2203
1.7401 1.7401 1.7401
```

## Properties
Final energy (eV for the cell shown): -11.4
M_tot (μB/atom): 0.00

=====

[10]
Density functional theory data (PBE) for a relaxed structure of BeBi2Ir.

Structure (POSCAR):
```
BeBi2Ir
1.0
0.0000 3.4687 3.4687
3.4687 0.0000 3.4687
3.4687 3.4687 0.0000
Be Bi Ir
1 2 1
Cartesian
0.0000 0.0000 0.0000
3.4687 3.4687 3.4687
5.2030 5.2030 5.2030
1.7343 1.7343 1.7343
```

## Properties
Final energy (eV for the cell shown): -17.4
M_tot (μB/atom): 0.00

=====

[11]
Density functional theory data (PBE) for a relaxed structure of BeBiIr2.

Structure (POSCAR):
```
BeBiIr2
1.0
0.0000 3.2008 3.2008
3.2008 0.0000 3.2008
3.2008 3.2008 0.0000
Be Bi Ir
1 1 2
Cartesian
0.0000 0.0000 0.0000
4.8012 4.8012 4.8012
1.6004 1.6004 1.6004
3.2008 3.2008 3.2008
```

## Properties
Final energy (eV for the cell shown): -23.3
M_tot (μB/atom): 0.02

=====

[12]
Density functional theory data (PBE) for a relaxed structure of SrBeBiIr.

Structure (POSCAR):
```
SrBeBiIr
1.0
0.0000 3.5033 3.5033
3.5033 0.0000 3.5033
3.5033 3.5033 0.0000
Sr Be Bi Ir
1 1 1 1
Cartesian
0.0000 0.0000 0.0000
3.5033 3.5033 3.5033
5.2550 5.2550 5.2550
1.7517 1.7517 1.7517
```

## Properties
Relative energy among the computed polymorphs (meV per atom): 241
M_tot (μB/atom): 0.00

=====

[13]
Density functional theory data (PBE) for a relaxed structure of SrBeBiIr.

Structure (POSCAR):
```
SrBeBiIr
1.0
0.0000 3.4946 3.4946
3.4946 0.0000 3.4946
3.4946 3.4946 0.0000
Sr Be Bi Ir
1 1 1 1
Cartesian
0.0000 0.0000 0.0000
5.2420 5.2420 5.2420
3.4946 3.4946 3.4946
1.7473 1.7473 1.7473
```

## Properties
Relative energy among the computed polymorphs (meV per atom): 94
M_tot (μB/atom): 0.00

=====

[14]
Density functional theory data (PBE) for a relaxed structure of SrBeBiIr.

Structure (POSCAR):
```
SrBeBiIr
1.0
0.0000 3.4404 3.4404
3.4404 0.0000 3.4404
3.4404 3.4404 0.0000
Sr Be Bi Ir
1 1 1 1
Cartesian
0.0000 0.0000 0.0000
5.1606 5.1606 5.1606
1.7202 1.7202 1.7202
3.4404 3.4404 3.4404
```

## Properties
Relative energy among the computed polymorphs (meV per atom): 0
M_tot (μB/atom): 0.00

=====

[15]
Density functional theory data (PBE) for a relaxed structure of BeZnBiIr.

Structure (POSCAR):
```
BeZnBiIr
1.0
0.0000 3.2313 3.2313
3.2313 0.0000 3.2313
3.2313 3.2313 0.0000
Be Zn Bi Ir
1 1 1 1
Cartesian
0.0000 0.0000 0.0000
1.6156 1.6156 1.6156
3.2313 3.2313 3.2313
4.8469 4.8469 4.8469
```

## Properties
Relative energy among the computed polymorphs (meV per atom): 47
M_tot (μB/atom): 0.00

=====

[16]
Density functional theory data (PBE) for a relaxed structure of BeZnBiIr.

Structure (POSCAR):
```
BeZnBiIr
1.0
0.0000 3.2124 3.2124
3.2124 0.0000 3.2124
3.2124 3.2124 0.0000
Be Zn Bi Ir
1 1 1 1
Cartesian
0.0000 0.0000 0.0000
3.2124 3.2124 3.2124
1.6062 1.6062 1.6062
4.8186 4.8186 4.8186
```

## Properties
Relative energy among the computed polymorphs (meV per atom): 0
M_tot (μB/atom): 0.00

=====

[17]
Density functional theory data (PBE) for a relaxed structure of KBeBiPt.

Structure (POSCAR):
```
KBeBiPt
1.0
0.0000 3.4969 3.4969
3.4969 0.0000 3.4969
3.4969 3.4969 0.0000
K Be Bi Pt
1 1 1 1
Cartesian
0.0000 0.0000 0.0000
3.4969 3.4969 3.4969
1.7485 1.7485 1.7485
5.2454 5.2454 5.2454
```

## Properties
Relative energy among the computed polymorphs (meV per atom): 178
M_tot (μB/atom): 0.00

=====

[18]
Density functional theory data (PBE) for a relaxed structure of KBeBiPt.

Structure (POSCAR):
```
KBeBiPt
1.0
0.0000 3.4547 3.4547
3.4547 0.0000 3.4547
3.4547 3.4547 0.0000
K Be Bi Pt
1 1 1 1
Cartesian
0.0000 0.0000 0.0000
1.7274 1.7274 1.7274
5.1821 5.1821 5.1821
3.4547 3.4547 3.4547
```

## Properties
Relative energy among the computed polymorphs (meV per atom): 0
M_tot (μB/atom): 0.00

=====

[19]
Density functional theory data (PBE) for a relaxed structure of LiBeBiPd.

Structure (POSCAR):
```
LiBeBiPd
1.0
0.0000 3.2128 3.2128
3.2128 0.0000 3.2128
3.2128 3.2128 0.0000
Li Be Bi Pd
1 1 1 1
Cartesian
0.0000 0.0000 0.0000
4.8192 4.8192 4.8192
1.6064 1.6064 1.6064
3.2128 3.2128 3.2128
```

## Properties
Relative energy among the computed polymorphs (meV per atom): 39

=====

[20]
Density functional theory data (PBE) for a relaxed structure of LiBeBiPd.

Structure (POSCAR):
```
LiBeBiPd
1.0
0.0000 3.1689 3.1689
3.1689 0.0000 3.1689
3.1689 3.1689 0.0000
Li Be Bi Pd
1 1 1 1
Cartesian
0.0000 0.0000 0.0000
3.1689 3.1689 3.1689
4.7533 4.7533 4.7533
1.5844 1.5844 1.5844
```

## Properties
Relative energy among the computed polymorphs (meV per atom): 0

=====

[21]
Density functional theory data (PBE) for a relaxed structure of LiBeBiPt.

Structure (POSCAR):
```
LiBeBiPt
1.0
0.0000 3.1595 3.1595
3.1595 0.0000 3.1595
3.1595 3.1595 0.0000
Li Be Bi Pt
1 1 1 1
Cartesian
0.0000 0.0000 0.0000
3.1595 3.1595 3.1595
1.5798 1.5798 1.5798
4.7393 4.7393 4.7393
```

## Properties
Relative energy among the computed polymorphs (meV per atom): 0
M_tot (μB/atom): 0.00

=====

[22]
Density functional theory data (PBE) for a relaxed structure of LiBeBiPt.

Structure (POSCAR):
```
LiBeBiPt
1.0
0.0000 3.2083 3.2083
3.2083 0.0000 3.2083
3.2083 3.2083 0.0000
Li Be Bi Pt
1 1 1 1
Cartesian
0.0000 0.0000 0.0000
1.6041 1.6041 1.6041
4.8124 4.8124 4.8124
3.2083 3.2083 3.2083
```

## Properties
Relative energy among the computed polymorphs (meV per atom): 9
M_tot (μB/atom): 0.00

=====

[23]
Density functional theory data (PBE) for a relaxed structure of LiBeZnBi.

Structure (POSCAR):
```
LiBeZnBi
1.0
0.0000 3.2760 3.2760
3.2760 0.0000 3.2760
3.2760 3.2760 0.0000
Li Be Zn Bi
1 1 1 1
Cartesian
0.0000 0.0000 0.0000
3.2760 3.2760 3.2760
1.6380 1.6380 1.6380
4.9140 4.9140 4.9140
```

## Properties
Relative energy among the computed polymorphs (meV per atom): 0

=====

[24]
Density functional theory data (PBE) for a relaxed structure of LiBeZnBi.

Structure (POSCAR):
```
LiBeZnBi
1.0
0.0000 3.3187 3.3187
3.3187 0.0000 3.3187
3.3187 3.3187 0.0000
Li Be Zn Bi
1 1 1 1
Cartesian
0.0000 0.0000 0.0000
1.6593 1.6593 1.6593
3.3187 3.3187 3.3187
4.9780 4.9780 4.9780
```

## Properties
Relative energy among the computed polymorphs (meV per atom): 119

=====

[25]
Density functional theory data (PBE) for a relaxed structure of LiBeZnBi.

Structure (POSCAR):
```
LiBeZnBi
1.0
0.0000 3.3568 3.3568
3.3568 0.0000 3.3568
3.3568 3.3568 0.0000
Li Be Zn Bi
1 1 1 1
Cartesian
0.0000 0.0000 0.0000
1.6784 1.6784 1.6784
5.0352 5.0352 5.0352
3.3568 3.3568 3.3568
```

## Properties
Relative energy among the computed polymorphs (meV per atom): 116

=====

[26]
Density functional theory data (PBE) for a relaxed structure of LuBeBi.

Structure (POSCAR):
```
LuBeBi
1.0
0.0000 3.2575 3.2575
3.2575 0.0000 3.2575
3.2575 3.2575 0.0000
Lu Be Bi
1 1 1
Cartesian
0.0000 0.0000 0.0000
4.8863 4.8863 4.8863
3.2575 3.2575 3.2575
```

## Properties
Relative energy among the computed polymorphs (meV per atom): 0
M_tot (μB/atom): 0.00

=====

[27]
Density functional theory data (PBE) for a relaxed structure of LuBeBi2.

Structure (POSCAR):
```
LuBeBi2
1.0
0.0000 3.7194 3.7194
3.7194 0.0000 3.7194
3.7194 3.7194 0.0000
Lu Be Bi
1 1 2
Cartesian
0.0000 0.0000 0.0000
5.5792 5.5792 5.5792
1.8597 1.8597 1.8597
3.7194 3.7194 3.7194
```

## Properties
Final energy (eV for the cell shown): -15.0
M_tot (μB/atom): 0.00

=====

[28]
Density functional theory data (PBE) for a relaxed structure of LuBeBi.

Structure (POSCAR):
```
LuBeBi
1.0
0.0000 3.4418 3.4418
3.4418 0.0000 3.4418
3.4418 3.4418 0.0000
Lu Be Bi
1 1 1
Cartesian
0.0000 0.0000 0.0000
5.1627 5.1627 5.1627
1.7209 1.7209 1.7209
```

## Properties
Relative energy among the computed polymorphs (meV per atom): 223
M_tot (μB/atom): 0.00

=====

[29]
Density functional theory data (PBE) for a relaxed structure of LuBe2Bi.

Structure (POSCAR):
```
LuBe2Bi
1.0
0.0000 3.4101 3.4101
3.4101 0.0000 3.4101
3.4101 3.4101 0.0000
Lu Be Bi
1 2 1
Cartesian
0.0000 0.0000 0.0000
1.7050 1.7050 1.7050
3.4101 3.4101 3.4101
5.1151 5.1151 5.1151
```

## Properties
Final energy (eV for the cell shown): -13.7
M_tot (μB/atom): 0.00

=====

[30]
Density functional theory data (PBE) for a relaxed structure of Lu2BeBi.

Structure (POSCAR):
```
Lu2BeBi
1.0
0.0000 3.6553 3.6553
3.6553 0.0000 3.6553
3.6553 3.6553 0.0000
Lu Be Bi
2 1 1
Cartesian
0.0000 0.0000 0.0000
1.8277 1.8277 1.8277
5.4830 5.4830 5.4830
3.6553 3.6553 3.6553
```

## Properties
Final energy (eV for the cell shown): -15.2
M_tot (μB/atom): 0.00

=====

[31]
Density functional theory data (PBE) for a relaxed structure of LuBeNiBi.

Structure (POSCAR):
```
LuBeNiBi
1.0
0.0000 3.3045 3.3045
3.3045 0.0000 3.3045
3.3045 3.3045 0.0000
Lu Be Ni Bi
1 1 1 1
Cartesian
0.0000 0.0000 0.0000
1.6523 1.6523 1.6523
4.9568 4.9568 4.9568
3.3045 3.3045 3.3045
```

## Properties
Relative energy among the computed polymorphs (meV per atom): 0
M_tot (μB/atom): 0.00